Entry from Alexandria via LeMat-Bulk: a relaxed TaCoRe crystal (PBE).

Computed properties:
Energy in eV/atom: -10.445
Crystal system: orthorhombic
Total moment in μB/f.u.: 0.0

```
data_TaCoRe
_symmetry_space_group_name_H-M 'P 1'
_symmetry_Int_Tables_number 1
_cell_length_a 5.045
_cell_length_b 6.101
_cell_length_c 6.497
_cell_angle_alpha 90.00
_cell_angle_beta 90.00
_cell_angle_gamma 114.42
loop_
_symmetry_equiv_pos_as_xyz
'x,y,z'
loop_
_atom_site_label
_atom_site_type_symbol
_atom_site_fract_x
_atom_site_fract_y
_atom_site_fract_z
Co1 Co 0.908 0.815 0.084
Re1 Re 0.328 0.157 0.250
Co2 Co 0.408 0.815 0.416
Re2 Re 0.828 0.157 0.250
Re3 Re 0.172 0.843 0.750
Ta1 Ta 0.197 0.393 0.589
Ta2 Ta 0.803 0.607 0.411
Co3 Co 0.592 0.185 0.584
Ta3 Ta 0.697 0.393 0.911
Co4 Co 0.092 0.185 0.916
Re4 Re 0.672 0.843 0.750
Ta4 Ta 0.303 0.607 0.089
```



Entry from Alexandria via LeMat-Bulk: a relaxed CaThTl2Se4 crystal (PBE).

Computed properties:
ΔE_f (raw) in eV per atom: -1.3337
Energy in eV/atom: -4.845
Crystal system: monoclinic
Total moment in μB/f.u.: 0.0

```
data_CaThTl2Se4
_symmetry_space_group_name_H-M 'P 1'
_symmetry_Int_Tables_number 1
_cell_length_a 4.345
_cell_length_b 8.135
_cell_length_c 7.416
_cell_angle_alpha 72.13
_cell_angle_beta 90.00
_cell_angle_gamma 90.00
loop_
_symmetry_equiv_pos_as_xyz
'x,y,z'
loop_
_atom_site_label
_atom_site_type_symbol
_atom_site_fract_x
_atom_site_fract_y
_atom_site_fract_z
Tl1 Tl 0.000 0.000 0.000
Tl2 Tl 0.500 0.000 0.500
Se1 Se 0.500 0.709 0.271
Se2 Se 0.000 0.293 0.245
Ca1 Ca 0.500 0.500 0.000
Th1 Th 0.000 0.500 0.500
Se3 Se 0.500 0.291 0.729
Se4 Se 0.000 0.707 0.755
```



Entry from Alexandria via LeMat-Bulk: a relaxed MoW3S crystal (PBE).

Computed properties:
ΔE_f (raw) in eV per atom: 2.4165
Energy in eV/atom: -8.347
Crystal system: cubic
Total moment in μB/f.u.: 0.0

```
data_MoW3S
_symmetry_space_group_name_H-M 'P 1'
_symmetry_Int_Tables_number 1
_cell_length_a 4.757
_cell_length_b 4.757
_cell_length_c 4.757
_cell_angle_alpha 90.00
_cell_angle_beta 90.00
_cell_angle_gamma 90.00
loop_
_symmetry_equiv_pos_as_xyz
'x,y,z'
loop_
_atom_site_label
_atom_site_type_symbol
_atom_site_fract_x
_atom_site_fract_y
_atom_site_fract_z
Mo1 Mo 0.000 0.000 0.000
W1 W 0.000 0.000 0.500
W2 W 0.000 0.500 0.000
W3 W 0.500 0.000 0.000
S1 S 0.500 0.500 0.500
```



Entry from Alexandria via LeMat-Bulk: a relaxed SiPRh2 crystal (PBE).

Computed properties:
ΔE_f (raw) in eV per atom: 0.0994
Energy in eV/atom: -6.284
Crystal system: cubic
Total moment in μB/f.u.: 0.0

```
data_SiPRh2
_symmetry_space_group_name_H-M 'P 1'
_symmetry_Int_Tables_number 1
_cell_length_a 4.303
_cell_length_b 4.303
_cell_length_c 4.303
_cell_angle_alpha 60.00
_cell_angle_beta 60.00
_cell_angle_gamma 60.00
loop_
_symmetry_equiv_pos_as_xyz
'x,y,z'
loop_
_atom_site_label
_atom_site_type_symbol
_atom_site_fract_x
_atom_site_fract_y
_atom_site_fract_z
Rh1 Rh 0.000 0.000 0.000
Rh2 Rh 0.750 0.750 0.750
Si1 Si 0.250 0.250 0.250
P1 P 0.500 0.500 0.500
```



Entry from Alexandria via LeMat-Bulk: a relaxed Hf3MnTe crystal (PBE).

Computed properties:
ΔE_f (raw) in eV per atom: 1.0831
Energy in eV/atom: -7.351
Crystal system: cubic
Total moment in μB/f.u.: 3.8

```
data_Hf3MnTe
_symmetry_space_group_name_H-M 'P 1'
_symmetry_Int_Tables_number 1
_cell_length_a 5.188
_cell_length_b 5.188
_cell_length_c 5.188
_cell_angle_alpha 90.00
_cell_angle_beta 90.00
_cell_angle_gamma 90.00
loop_
_symmetry_equiv_pos_as_xyz
'x,y,z'
loop_
_atom_site_label
_atom_site_type_symbol
_atom_site_fract_x
_atom_site_fract_y
_atom_site_fract_z
Hf1 Hf 0.500 0.000 0.000
Hf2 Hf 0.000 0.000 0.500
Mn1 Mn 0.500 0.500 0.500
Hf3 Hf 0.000 0.500 0.000
Te1 Te 0.000 0.000 0.000
```



Entry from Alexandria via LeMat-Bulk: a relaxed ScReIr2 crystal (PBE).

Computed properties:
Energy in eV/atom: -9.182
Crystal system: cubic
Total moment in μB/f.u.: 1.0

```
data_ScReIr2
_symmetry_space_group_name_H-M 'P 1'
_symmetry_Int_Tables_number 1
_cell_length_a 4.484
_cell_length_b 4.484
_cell_length_c 4.484
_cell_angle_alpha 60.00
_cell_angle_beta 60.00
_cell_angle_gamma 60.00
loop_
_symmetry_equiv_pos_as_xyz
'x,y,z'
loop_
_atom_site_label
_atom_site_type_symbol
_atom_site_fract_x
_atom_site_fract_y
_atom_site_fract_z
Re1 Re 0.500 0.500 0.500
Sc1 Sc 0.000 0.000 0.000
Ir1 Ir 0.750 0.750 0.750
Ir2 Ir 0.250 0.250 0.250
```